1.
HfMgZrAs2 | GGA-PBE | optimized geometry

a b c (Å): 5.0288 5.0288 5.1960
angles (deg): 90.00 90.00 90.00
Sites, in units of the cell vectors:
Hf (0.0000, 0.0000, 0.0000)
Mg (0.0000, 0.0000, 0.5000)
Zr (0.5000, 0.5000, 0.5000)
As (0.0000, 0.5000, 0.0000)
As (0.5000, 0.0000, 0.0000)

Values from the calculation:
Crystal system = tetragonal
Symmetry = P4/mmm, No. 123
Volume = 131.4 Å³/cell
Calculated formation energy = 534 meV per atom
DOS(E_F) = 1.07 states/eV/atom
Total magnetic moment = 0.002 μB/cell
Calculated total energy = -0.393 Ry/atom

2.
NaLaSmSe3 | GGA-PBE | optimized geometry

a b c (Å): 8.5953 4.2006 9.3227
angles (deg): 90.00 104.74 90.00
Sites, in units of the cell vectors:
Na (0.0970, 0.2500, 0.0852)
Na (0.9030, 0.7500, 0.9148)
La (0.1993, 0.2500, 0.7243)
La (0.8007, 0.7500, 0.2757)
Sm (0.3349, 0.7500, 0.3472)
Sm (0.6651, 0.2500, 0.6528)
Se (0.0929, 0.2500, 0.3775)
Se (0.2498, 0.7500, 0.9894)
Se (0.4357, 0.7500, 0.6719)
Se (0.5643, 0.2500, 0.3281)
Se (0.7502, 0.2500, 0.0106)
Se (0.9071, 0.7500, 0.6225)

Values from the calculation:
Crystal system = monoclinic
Symmetry = P2_1/m, No. 11
Volume = 325.5 Å³/cell
DOS(E_F) = 0.51 states/eV/atom
Total magnetic moment = 0.000 μB/cell
Calculated total energy = -0.380 Ry/atom
Raw formation energy = -1594 meV/atom

3.
Sr3SbAs | GGA-PBE | optimized geometry

a b c (Å): 9.3671 8.6381 9.0070
angles (deg): 90.00 98.98 90.00
Sites, in units of the cell vectors:
Sr (0.0549, 0.0050, 0.2206)
Sr (0.0549, 0.4950, 0.7206)
Sr (0.2686, 0.1156, 0.5845)
Sr (0.2686, 0.3844, 0.0845)
Sr (0.3702, 0.7031, 0.4834)
Sr (0.3702, 0.7969, 0.9834)
Sr (0.6298, 0.2031, 0.0166)
Sr (0.6298, 0.2969, 0.5166)
Sr (0.7314, 0.6156, 0.9155)
Sr (0.7314, 0.8844, 0.4155)
Sr (0.9451, 0.5050, 0.2794)
Sr (0.9451, 0.9950, 0.7794)
Sb (0.4139, 0.0653, 0.2649)
Sb (0.4139, 0.4347, 0.7649)
Sb (0.5861, 0.5653, 0.2351)
Sb (0.5861, 0.9347, 0.7351)
As (0.0575, 0.7169, 0.0114)
As (0.0575, 0.7831, 0.5114)
As (0.9425, 0.2169, 0.4886)
As (0.9425, 0.2831, 0.9886)

Values from the calculation:
Crystal system = monoclinic
Energy above the most stable polymorph in this dataset = 0.0 kJ per mole of atoms
Symmetry = P2_1/c, No. 14
Volume = 719.8 Å³/cell
Total magnetic moment = 0.000 μB/cell
Calculated total energy = -0.281 Ry/atom
Raw formation energy = -1056 meV/atom

4.
LaCd2Co | GGA-PBE | optimized geometry

a b c (Å): 4.8952 4.8952 4.5232
angles (deg): 90.00 90.00 117.48
Sites, in units of the cell vectors:
La (0.0000, 0.0000, 0.0000)
Cd (0.3298, 0.6702, 0.5000)
Cd (0.6702, 0.3298, 0.5000)
Co (0.5000, 0.5000, 0.0000)

Values from the calculation:
Crystal system = orthorhombic
Symmetry = Cmmm, No. 65
Volume = 96.2 Å³/cell
Calculated formation energy = -48 meV per atom
DOS(E_F) = 0.98 states/eV/atom
Total magnetic moment = 0.003 μB/cell
Calculated total energy = -0.258 Ry/atom

5.
Ca2NbSi2 | GGA-PBE | optimized geometry

a b c (Å): 7.0003 7.0003 4.5447
angles (deg): 90.00 90.00 90.00
Sites, in units of the cell vectors:
Ca (0.1758, 0.3242, 0.0000)
Ca (0.3242, 0.8242, 0.0000)
Ca (0.6758, 0.1758, 0.0000)
Ca (0.8242, 0.6758, 0.0000)
Nb (0.0000, 0.0000, 0.5000)
Nb (0.5000, 0.5000, 0.5000)
Si (0.1272, 0.6272, 0.5000)
Si (0.3728, 0.1272, 0.5000)
Si (0.6272, 0.8728, 0.5000)
Si (0.8728, 0.3728, 0.5000)

Values from the calculation:
Crystal system = tetragonal
Symmetry = P4/mbm, No. 127
Volume = 222.7 Å³/cell
DOS(E_F) = 1.07 states/eV/atom
Total magnetic moment = 2.995 μB/cell
Calculated total energy = -0.380 Ry/atom
Raw formation energy = -185 meV/atom

6.
LiTb2PaS4 | GGA-PBE | optimized geometry

a b c (Å): 6.6854 3.8630 6.7866
angles (deg): 90.00 109.14 90.00
Sites, in units of the cell vectors:
Li (0.0000, 0.0000, 0.0000)
Tb (0.5000, 0.0000, 0.5000)
Tb (0.5000, 0.5000, 0.0000)
Pa (0.0000, 0.5000, 0.5000)
S (0.2403, 0.5000, 0.2432)
S (0.2441, 0.0000, 0.7564)
S (0.7559, 0.0000, 0.2436)
S (0.7597, 0.5000, 0.7568)

Values from the calculation:
Crystal system = monoclinic
Symmetry = P2/m, No. 10
Volume = 165.6 Å³/cell
DOS(E_F) = 0.69 states/eV/atom
Total magnetic moment = 0.000 μB/cell
Calculated total energy = -0.473 Ry/atom
Raw formation energy = -1791 meV/atom

7.
Pm3Dy2In2 | GGA-PBE | optimized geometry

a b c (Å): 12.3287 12.3287 3.5072
angles (deg): 90.00 90.00 156.93
Sites, in units of the cell vectors:
Pm (0.0000, 0.0000, 0.0000)
Pm (0.1410, 0.8590, 0.0000)
Pm (0.8590, 0.1410, 0.0000)
Dy (0.2877, 0.7123, 0.5000)
Dy (0.7123, 0.2877, 0.5000)
In (0.4289, 0.5711, 0.5000)
In (0.5711, 0.4289, 0.5000)

Values from the calculation:
Crystal system = orthorhombic
Energy above the most stable polymorph in this dataset = 0.0 kJ per mole of atoms
Symmetry = Cmmm, No. 65
Volume = 208.9 Å³/cell
Calculated formation energy = -165 meV per atom
DOS(E_F) = 1.18 states/eV/atom
Total magnetic moment = 0.023 μB/cell
Calculated total energy = -0.316 Ry/atom

8.
Tb4TlAg2Hg | GGA-PBE | optimized geometry

a b c (Å): 9.1021 9.1021 9.1021
angles (deg): 33.57 33.57 33.57
Sites, in units of the cell vectors:
Tb (0.1230, 0.1230, 0.1230)
Tb (0.3731, 0.3731, 0.3731)
Tb (0.6269, 0.6269, 0.6269)
Tb (0.8770, 0.8770, 0.8770)
Tl (0.5000, 0.5000, 0.5000)
Ag (0.2493, 0.2493, 0.2493)
Ag (0.7507, 0.7507, 0.7507)
Hg (0.0000, 0.0000, 0.0000)

Values from the calculation:
Crystal system = trigonal
Symmetry = R-3m, No. 166
Volume = 205.3 Å³/cell
Calculated formation energy = -367 meV per atom
DOS(E_F) = 0.73 states/eV/atom
Total magnetic moment = 0.000 μB/cell
Calculated total energy = -0.274 Ry/atom